A geometry-optimized CaSm2Ho structure, computed with PBE.

Unit cell a=3.5755 b=3.5755 c=12.8996 alpha=82.03 beta=82.03 gamma=60.00
Last column: nearest neighbours and their distance in Å.
Fractional positions:
1 Ho 0.5000 0.5000 0.5000  6 Sm 3.53, 6 Ho 3.58
2 Ca 0.0000 0.0000 0.0000  2 Sm 3.51, 6 Ca 3.58
3 Sm 0.9081 0.9081 0.2756  1 Ca 3.51, 3 Ho 3.53, 6 Sm 3.58
4 Sm 0.0919 0.0919 0.7244  1 Ca 3.51, 3 Ho 3.53, 6 Sm 3.58

## Properties
DFT total energy: -15.5 eV/cell
ΔE_f: 0.138 eV/atom
energy above the lowest structure with this stoichiometry: 0.0927 eV per atom